Tb6Nd2Th | PBE | optimized geometry

Density of states at the Fermi level   16.53 states/eV/f.u.
ΔH_f (0 K)   0.070 eV per atom

Lattice parameters (Å, degrees): 3.594 3.594 26.685 90.00 90.00 120.00
Fractional positions:
Nd (0.667, 0.333, 0.329)
Nd (0.667, 0.333, 0.671)
Tb (0.333, 0.667, 0.437)
Tb (0.667, 0.333, 0.109)
Tb (0.333, 0.667, 0.563)
Tb (0.667, 0.333, 0.891)
Tb (0.333, 0.667, 0.784)
Tb (0.333, 0.667, 0.216)
Th (0.333, 0.667, 0.000)